# 1
First-principles (GGA-PBE) data for an optimized crystal structure of YBeSb2Te, as listed in Alexandria.

Lattice parameters (Å, degrees): 5.8222 5.8222 5.7621 90.00 90.00 90.00
Space group P4/mmm (No. 123)
One atom of each set of equivalent atoms:
Y  0.0000  0.0000  0.0000 x1
Be  0.5000  0.5000  0.5000 x1
Sb  0.0000  0.5000  0.0000 x2
Te  0.0000  0.0000  0.5000 x1

## Properties
**E_form (uncorrected)**: 0.762 eV per atom
**Energy above the lowest structure with this stoichiometry**: 759 meV per atom
**Crystal system**: tetragonal
**Electronic total energy**: -3.55 eV/atom



# 2
First-principles (GGA-PBE) data for an optimized crystal structure of YBeSb2Te, as listed in Alexandria.

Lattice parameters (Å, degrees): 4.9467 4.9467 5.2224 90.00 90.00 90.00
Space group P4/mmm (No. 123)
One atom of each set of equivalent atoms:
Y  0.0000  0.0000  0.0000 x1
Be  0.5000  0.5000  0.5000 x1
Sb  0.0000  0.5000  0.5000 x2
Te  0.5000  0.5000  0.0000 x1

## Properties
**E_form (uncorrected)**: 0.003 eV per atom
**Energy above the lowest structure with this stoichiometry**: 0 meV per atom
**Crystal system**: tetragonal
**Electronic total energy**: -4.31 eV/atom



# 3
First-principles (GGA-PBE) data for an optimized crystal structure of YBeSbTe2, as listed in Alexandria.

Lattice parameters (Å, degrees): 5.2575 5.2575 4.7135 90.00 90.00 90.00
Space group P4/mmm (No. 123)
One atom of each set of equivalent atoms:
Y  0.0000  0.0000  0.0000 x1
Be  0.5000  0.5000  0.5000 x1
Sb  0.5000  0.5000  0.0000 x1
Te  0.0000  0.5000  0.5000 x2

## Properties
**E_form (uncorrected)**: -0.101 eV per atom
**Energy above the lowest structure with this stoichiometry**: 0 meV per atom
**Crystal system**: tetragonal
**Electronic total energy**: -4.22 eV/atom



# 4
First-principles (GGA-PBE) data for an optimized crystal structure of BeZnSb2Te, as listed in Alexandria.

Lattice parameters (Å, degrees): 5.1418 5.1418 5.4127 90.00 90.00 90.00
Space group P4/mmm (No. 123)
One atom of each set of equivalent atoms:
Be  0.0000  0.0000  0.0000 x1
Zn  0.5000  0.5000  0.5000 x1
Sb  0.0000  0.5000  0.5000 x2
Te  0.5000  0.5000  0.0000 x1

## Properties
**E_form (uncorrected)**: 1.016 eV per atom
**Energy above the lowest structure with this stoichiometry**: 488 meV per atom
**Crystal system**: tetragonal
**Electronic total energy**: -2.26 eV/atom



# 5
First-principles (GGA-PBE) data for an optimized crystal structure of BeZnSb2Te, as listed in Alexandria.

Lattice parameters (Å, degrees): 5.8004 5.8004 5.0521 90.00 90.00 90.00
Space group P4/mmm (No. 123)
One atom of each set of equivalent atoms:
Be  0.0000  0.0000  0.0000 x1
Zn  0.5000  0.5000  0.0000 x1
Sb  0.0000  0.5000  0.5000 x2
Te  0.5000  0.5000  0.5000 x1

## Properties
**E_form (uncorrected)**: 1.200 eV per atom
**Energy above the lowest structure with this stoichiometry**: 672 meV per atom
**Crystal system**: tetragonal
**Electronic total energy**: -2.08 eV/atom



# 6
First-principles (GGA-PBE) data for an optimized crystal structure of BeZnSb2Te, as listed in Alexandria.

Lattice parameters (Å, degrees): 4.8499 4.8499 5.2694 90.00 90.00 90.00
Space group P4/mmm (No. 123)
One atom of each set of equivalent atoms:
Be  0.0000  0.0000  0.0000 x1
Zn  0.5000  0.5000  0.5000 x1
Sb  0.0000  0.5000  0.0000 x2
Te  0.0000  0.0000  0.5000 x1

## Properties
**E_form (uncorrected)**: 0.528 eV per atom
**Energy above the lowest structure with this stoichiometry**: 0 meV per atom
**Crystal system**: tetragonal
**Electronic total energy**: -2.75 eV/atom



# 7
First-principles (GGA-PBE) data for an optimized crystal structure of ZrBeSb2Te, as listed in Alexandria.

Lattice parameters (Å, degrees): 5.5750 5.5750 5.5249 90.00 90.00 90.00
Space group P4/mmm (No. 123)
One atom of each set of equivalent atoms:
Zr  0.0000  0.0000  0.0000 x1
Be  0.5000  0.5000  0.5000 x1
Sb  0.0000  0.5000  0.0000 x2
Te  0.0000  0.0000  0.5000 x1

## Properties
**E_form (uncorrected)**: 0.695 eV per atom
**Energy above the lowest structure with this stoichiometry**: 268 meV per atom
**Crystal system**: tetragonal
**Electronic total energy**: -4.04 eV/atom



# 8
First-principles (GGA-PBE) data for an optimized crystal structure of ZrBeSb2Te, as listed in Alexandria.

Lattice parameters (Å, degrees): 4.8318 4.8318 5.1541 90.00 90.00 90.00
Space group P4/mmm (No. 123)
One atom of each set of equivalent atoms:
Zr  0.0000  0.0000  0.0000 x1
Be  0.5000  0.5000  0.5000 x1
Sb  0.0000  0.5000  0.5000 x2
Te  0.5000  0.5000  0.0000 x1

## Properties
**E_form (uncorrected)**: 0.427 eV per atom
**Energy above the lowest structure with this stoichiometry**: 0 meV per atom
**Crystal system**: tetragonal
**Electronic total energy**: -4.31 eV/atom



# 9
First-principles (GGA-PBE) data for an optimized crystal structure of TiBeSb2, as listed in Alexandria.

Lattice parameters (Å, degrees): 6.1009 6.1009 11.5730 90.00 90.00 90.00
Space group I-42d (No. 122)
One atom of each set of equivalent atoms:
Ti  0.0000  0.0000  0.0000 x4
Be  0.0000  0.0000  0.5000 x4
Sb  0.2191  0.2500  0.6250 x8

## Properties
**E_form (uncorrected)**: 0.222 eV per atom
**Crystal system**: tetragonal
**Electronic total energy**: -4.74 eV/atom



# 10
First-principles (GGA-PBE) data for an optimized crystal structure of TiBeSb3, as listed in Alexandria.

Lattice parameters (Å, degrees): 5.2249 5.2249 5.2249 90.00 90.00 90.00
Space group Pm-3m (No. 221)
One atom of each set of equivalent atoms:
Ti  0.0000  0.0000  0.0000 x1
Be  0.5000  0.5000  0.5000 x1
Sb  0.0000  0.0000  0.5000 x3

## Properties
**E_form (uncorrected)**: 0.663 eV per atom
**Energy above the lowest structure with this stoichiometry**: 14 meV per atom
**Crystal system**: cubic
**Electronic total energy**: -4.14 eV/atom



# 11
First-principles (GGA-PBE) data for an optimized crystal structure of Ti5BeSb2, as listed in Alexandria.

Lattice parameters (Å, degrees): 10.3810 10.3810 5.0991 90.00 90.00 90.00
Space group I4/mcm (No. 140)
One atom of each set of equivalent atoms:
Ti  0.0000  0.5000  0.2500 x4
Ti  0.0707  0.2046  0.0000 x16
Be  0.0000  0.0000  0.2500 x4
Sb  0.1651  0.3349  0.5000 x8

## Properties
**E_form (uncorrected)**: -0.416 eV per atom
**Crystal system**: tetragonal
**Electronic total energy**: -6.85 eV/atom



# 12
First-principles (GGA-PBE) data for an optimized crystal structure of Ti12BeSb6, as listed in Alexandria.

Lattice parameters (Å, degrees): 11.2974 11.2974 10.3320 90.00 90.00 120.00
Space group R-3 (No. 148, hexagonal axes)
One atom of each set of equivalent atoms:
Ti  0.0284  0.8651  0.3801 x18
Ti  0.0775  0.8952  0.8626 x18
Be  0.0000  0.0000  0.0000 x3
Sb  0.0298  0.6243  0.2976 x18

## Properties
**E_form (uncorrected)**: -0.092 eV per atom
**Crystal system**: trigonal
**Electronic total energy**: -6.58 eV/atom